1.
First-principles (PBE) data for an optimized crystal structure of Ta3Tc2Mo2, as listed in the Alexandria database.

As for the formation energy: 0.214 eV per atom.

It has space group P-1 (No. 2), with a = 4.467 Å, b = 4.476 Å, c = 7.603 Å, α = 106.50°, β = 90.19° and γ = 119.79°. The distinct sites, in fractional coordinates, are Ta at (0.000, 0.000, 0.000), Ta at (0.247, 0.497, 0.737), Tc at (0.122, 0.243, 0.372) and Mo at (0.377, 0.752, 0.133).


2.
First-principles (PBE) data for an optimized crystal structure of TcRh2CSe, as listed in the Alexandria database.

Its uncorrected formation energy is 1.37 eV/atom.

It has space group P4/mmm (No. 123), with a = 4.827 Å, b = 4.827 Å, c = 3.809 Å, α = 90.00°, β = 90.00° and γ = 90.00°. The distinct sites, in fractional coordinates, are Tc at (0.000, 0.000, 0.000), Rh at (0.000, 0.500, 0.000), C at (0.000, 0.000, 0.500) and Se at (0.500, 0.500, 0.500).


3.
First-principles (PBE) data for an optimized crystal structure of PmCdNi2H8, as listed in the Alexandria database.

It has space group P-3 (No. 147), with a = 4.3912 Å, b = 4.3912 Å, c = 6.6115 Å, α = 90.00°, β = 90.00° and γ = 120.00°. The distinct sites, in fractional coordinates, are Pm at (0.0000, 0.0000, 0.0000), Cd at (0.0000, 0.0000, 0.5000), Ni at (0.3333, 0.6667, 0.7262), H at (0.0361, 0.6759, 0.2831) and H at (0.3333, 0.6667, 0.9605).


N(E_F) (states/eV per cell)
6.30; 6.53; 4.47
DFT total energy (eV/atom)
-10.92; -6.19; -3.68